1.
Entry from Alexandria: a relaxed ScP3Ru5 crystal (PBE).

Summary:
Formation energy from the elements ... -0.414 eV per atom
Spin magnetization ... 0.000 μB/atom
Volume ... 14.62 A^3/atom

Cell: 2.9936 12.6423 13.9109 Å, 90.00 90.00 90.00°
With the nearest neighbours (Å) after each atom.
Space group Cmcm (No. 63)
Unique sites:
Sc  0.0000  0.1670  0.2500 (multiplicity 4)  2 Sc 2.99, 8 Ru 3.00-3.22, 6 P 3.02-3.14
P  0.0000  0.1257  0.7500 (multiplicity 4)  6 Ru 2.43
P  0.0000  0.3668  0.5537 (multiplicity 8)  4 Ru 2.22-2.37
Ru  0.0000  0.0000  0.0000 (multiplicity 4)  4 P 2.37
Ru  0.0000  0.1954  0.5871 (multiplicity 8)  2 P 2.22-2.43
Ru  0.0000  0.4877  0.1583 (multiplicity 8)  3 P 2.35-2.43, 1 Ru 2.55


2.
Entry from Alexandria: a relaxed ScPRu4 crystal (PBE).

Summary:
Formation energy from the elements ... 0.236 eV per atom
Spin magnetization ... 0.001 μB/atom
Volume ... 15.92 A^3/atom

Cell: 7.2566 7.2566 7.2566 Å, 90.00 90.00 90.00°
With the nearest neighbours (Å) after each atom.
Space group F-43m (No. 216)
Unique sites:
Sc  0.0000  0.0000  0.0000 (multiplicity 4)  12 Ru 3.01, 4 P 3.14
P  0.2500  0.2500  0.7500 (multiplicity 4)  12 Ru 3.01, 4 Sc 3.14
Ru  0.1242  0.1242  0.3758 (multiplicity 16)  6 Ru 2.55-2.58


3.
Entry from Alexandria: a relaxed ScP2Ru crystal (PBE).

Summary:
Formation energy from the elements ... -0.238 eV per atom
Spin magnetization ... 0.000 μB/atom
Volume ... 15.69 A^3/atom

Cell: 3.1232 3.1232 22.2895 Å, 90.00 90.00 120.00°
With the nearest neighbours (Å) after each atom.
Space group R3m (No. 160, hexagonal axes)
Unique sites:
Sc  0.0000  0.0000  0.0000 (multiplicity 3)  3 P 2.72, 3 Ru 2.80
P  0.0000  0.0000  0.4993 (multiplicity 3)  3 Ru 2.40, 3 P 2.45
P  0.0000  0.0000  0.7581 (multiplicity 3)  3 P 2.45, 3 Sc 2.72
Ru  0.0000  0.0000  0.2373 (multiplicity 3)  3 P 2.40


4.
Entry from Alexandria: a relaxed ScP2Ru crystal (PBE).

Summary:
Formation energy from the elements ... -0.588 eV per atom
Spin magnetization ... 0.000 μB/atom
Volume ... 16.21 A^3/atom

Cell: 3.6489 4.7474 3.7688 Å, 90.00 96.63 90.00°
With the nearest neighbours (Å) after each atom.
Space group Pm (No. 6)
Unique sites:
Sc  0.0000  0.0000  0.0000 (multiplicity 1)  4 P 2.46-2.65
P  0.2611  0.5000  0.8412 (multiplicity 1)  2 Ru 2.28-2.39
P  0.5030  0.0000  0.4999 (multiplicity 1)  2 Sc 2.46-2.47, 2 Ru 2.49
Ru  0.6968  0.5000  0.4517 (multiplicity 1)  4 P 2.28-2.49


5.
Entry from Alexandria: a relaxed ScP2Ru crystal (PBE).

Summary:
Formation energy from the elements ... -0.553 eV per atom
Spin magnetization ... 0.000 μB/atom
Volume ... 14.65 A^3/atom

Cell: 4.3868 4.3868 3.0456 Å, 90.00 90.00 90.00°
With the nearest neighbours (Å) after each atom.
Space group P4/mmm (No. 123)
Unique sites:
Sc  0.0000  0.0000  0.0000 (multiplicity 1)  8 P 2.67
P  0.0000  0.5000  0.5000 (multiplicity 2)  4 Ru 2.67, 4 Sc 2.67
Ru  0.5000  0.5000  0.0000 (multiplicity 1)  8 P 2.67


6.
Entry from Alexandria: a relaxed ScPRu3 crystal (PBE).

Summary:
Formation energy from the elements ... -0.252 eV per atom
Spin magnetization ... 0.000 μB/atom
Volume ... 16.50 A^3/atom

Cell: 4.3536 4.3536 4.3536 Å, 90.00 90.00 90.00°
With the nearest neighbours (Å) after each atom.
Space group Pm-3m (No. 221)
Unique sites:
Sc  0.0000  0.0000  0.0000 (multiplicity 1)  12 Ru 3.08
P  0.5000  0.5000  0.5000 (multiplicity 1)  6 Ru 2.18
Ru  0.0000  0.5000  0.5000 (multiplicity 3)  2 P 2.18


7.
Entry from Alexandria: a relaxed ScPRu crystal (PBE).

Summary:
Formation energy from the elements ... -0.871 eV per atom
Spin magnetization ... 0.000 μB/atom
Volume ... 16.55 A^3/atom

Cell: 10.3996 3.7178 5.2727 Å, 90.00 103.01 90.00°
With the nearest neighbours (Å) after each atom.
Space group Cm (No. 8)
Unique sites:
Sc  0.0000  0.0000  0.0000 (multiplicity 2)  4 Ru 2.66-2.82, 4 P 2.72-2.74
Sc  0.2456  0.0000  0.6134 (multiplicity 2)  4 P 2.79-2.80, 4 Ru 2.93-3.07
P  0.0516  0.5000  0.6601 (multiplicity 2)  3 Ru 2.34-2.37
P  0.3392  0.0000  0.1543 (multiplicity 2)  4 Ru 2.29-2.49
Ru  0.2084  0.5000  0.0551 (multiplicity 2)  3 P 2.29-2.34
Ru  0.4301  0.5000  0.4542 (multiplicity 2)  4 P 2.37-2.49


8.
Entry from Alexandria: a relaxed ScP2Ru crystal (PBE).

Summary:
Formation energy from the elements ... -0.738 eV per atom
Spin magnetization ... 0.000 μB/atom
Volume ... 15.95 A^3/atom

Cell: 3.3923 3.8568 4.8777 Å, 90.00 90.00 90.00°
With the nearest neighbours (Å) after each atom.
Space group Pmmm (No. 47)
Unique sites:
Sc  0.0000  0.0000  0.0000 (multiplicity 1)  8 P 2.80, 4 Ru 2.97
P  0.5000  0.5000  0.2278 (multiplicity 2)  1 P 2.22, 2 Ru 2.34
Ru  0.5000  0.0000  0.5000 (multiplicity 1)  4 P 2.34


9.
Entry from Alexandria: a relaxed ScP2Ru crystal (PBE).

Summary:
Formation energy from the elements ... -0.816 eV per atom
Spin magnetization ... 0.000 μB/atom
Volume ... 15.93 A^3/atom

Cell: 3.7295 3.7295 15.8717 Å, 90.00 90.00 120.00°
With the nearest neighbours (Å) after each atom.
Space group R-3m (No. 166, hexagonal axes)
Unique sites:
Sc  0.0000  0.0000  0.0000 (multiplicity 3)  6 P 2.65
P  0.0000  0.0000  0.2363 (multiplicity 6)  3 Ru 2.42, 3 Sc 2.65
Ru  0.0000  0.0000  0.5000 (multiplicity 3)  6 P 2.42


10.
Entry from Alexandria: a relaxed ScP2Ru crystal (PBE).

Summary:
Formation energy from the elements ... -0.429 eV per atom
Spin magnetization ... 0.000 μB/atom
Volume ... 14.98 A^3/atom

Cell: 3.6283 3.6283 9.1010 Å, 90.00 90.00 90.00°
With the nearest neighbours (Å) after each atom.
Space group I-4m2 (No. 119)
Unique sites:
Sc  0.0000  0.0000  0.0000 (multiplicity 2)  4 P 2.57
P  0.0000  0.0000  0.5000 (multiplicity 2)  4 Sc 2.57
P  0.0000  0.5000  0.7500 (multiplicity 2)  4 Ru 2.57
Ru  0.0000  0.5000  0.2500 (multiplicity 2)  4 P 2.57


11.
Entry from Alexandria: a relaxed ScPRu crystal (PBE).

Summary:
Formation energy from the elements ... -0.862 eV per atom
Spin magnetization ... 0.000 μB/atom
Volume ... 16.43 A^3/atom

Cell: 7.4601 3.5013 7.5500 Å, 90.00 90.00 90.00°
With the nearest neighbours (Å) after each atom.
Space group Amm2 (No. 38)
Unique sites:
Sc  0.0000  0.0000  0.0000 (multiplicity 2)  4 P 2.70, 4 Ru 2.99
Sc  0.5000  0.0000  0.0490 (multiplicity 2)  6 Ru 2.76-2.81, 4 P 2.82
P  0.2247  0.0000  0.6580 (multiplicity 4)  3 Ru 2.31-2.39
Ru  0.2867  0.0000  0.3475 (multiplicity 4)  3 P 2.31-2.39


12.
Entry from Alexandria: a relaxed ScTe2PRu crystal (PBE).

Summary:
Spin magnetization ... 0.265 μB/atom
Volume ... 27.81 A^3/atom
Total DFT energy (no corrections) ... -22.4 eV per cell

Cell: 5.4607 5.4607 4.6627 Å, 90.00 90.00 90.00°
With the nearest neighbours (Å) after each atom.
Space group P4/mmm (No. 123)
Unique sites:
Sc  0.0000  0.0000  0.0000 (multiplicity 1)  2 Ru 2.33
Te  0.0000  0.5000  0.0000 (multiplicity 2)  2 Sc 2.73
P  0.5000  0.5000  0.5000 (multiplicity 1)  8 Te 3.59, 4 Ru 3.86
Ru  0.0000  0.0000  0.5000 (multiplicity 1)  2 Sc 2.33